A plane-wave DFT calculation with PBE-GGA was carried out for an optimized crystal structure of HfAgAu.

a b c (Å): 3.205 12.788 5.858
angles (deg): 90.00 90.00 90.00
Space group Cmcm (No. 63)
Unique sites:
Hf1 0.000 0.000 0.000 x4
Ag1 0.000 0.335 0.250 x4
Au1 0.000 0.352 0.750 x4

A plane-wave DFT calculation with PBE-GGA was carried out for an optimized crystal structure of HfAgAu3.

a b c (Å): 13.747 4.894 5.712
angles (deg): 90.00 93.43 90.00
Space group C2/m (No. 12)
Unique sites:
Hf1 0.109 0.000 0.153 x4
Ag1 0.193 0.500 0.594 x4
Au1 0.021 0.500 0.253 x4
Au2 0.082 0.000 0.668 x4
Au3 0.219 0.500 0.107 x4

A plane-wave DFT calculation with PBE-GGA was carried out for an optimized crystal structure of Hf3AgAu.

a b c (Å): 5.111 5.111 5.111
angles (deg): 90.00 90.00 90.00
Space group Pm-3m (No. 221)
Unique sites:
Hf1 0.000 0.000 0.500 x3
Ag1 0.500 0.500 0.500 x1
Au1 0.000 0.000 0.000 x1

A plane-wave DFT calculation with PBE-GGA was carried out for an optimized crystal structure of HfAgAu.

a b c (Å): 3.564 3.564 8.857
angles (deg): 90.00 90.00 90.00
Space group I4mm (No. 107)
Unique sites:
Hf1 0.000 0.000 0.000 x2
Ag1 0.000 0.000 0.328 x2
Au1 0.000 0.000 0.664 x2

A plane-wave DFT calculation with PBE-GGA was carried out for an optimized crystal structure of HfAg2Au.

a b c (Å): 7.715 7.715 5.542
angles (deg): 90.00 90.00 90.00
Space group I-42d (No. 122)
Unique sites:
Hf1 0.000 0.000 0.000 x4
Ag1 0.244 0.250 0.625 x8
Au1 0.000 0.000 0.500 x4

A plane-wave DFT calculation with PBE-GGA was carried out for an optimized crystal structure of Hf2AgAu.

a b c (Å): 3.538 3.538 6.299
angles (deg): 90.00 90.00 90.00
Space group P4/mmm (No. 123)
Unique sites:
Hf1 0.000 0.000 0.249 x2
Ag1 0.500 0.500 0.500 x1
Au1 0.500 0.500 0.000 x1

A plane-wave DFT calculation with PBE-GGA was carried out for an optimized crystal structure of HfAgAu4.

a b c (Å): 4.502 4.502 6.510
angles (deg): 90.00 90.00 90.00
Space group P4/mmm (No. 123)
Unique sites:
Hf1 0.000 0.000 0.000 x1
Ag1 0.500 0.500 0.500 x1
Au1 0.000 0.500 0.249 x4

A plane-wave DFT calculation with PBE-GGA was carried out for an optimized crystal structure of HfAgAu.

a b c (Å): 3.473 3.473 9.511
angles (deg): 90.00 90.00 90.00
Space group P4/nmm (No. 129, origin choice 2)
Unique sites:
Hf1 0.250 0.250 0.099 x2
Ag1 0.250 0.250 0.424 x2
Au1 0.250 0.250 0.746 x2

A plane-wave DFT calculation with PBE-GGA was carried out for an optimized crystal structure of HfAg2Au.

a b c (Å): 2.9327 2.9327 31.5379
angles (deg): 90.00 90.00 120.00
Space group R-3m (No. 166, hexagonal axes)
Unique sites:
Hf1 0.0000 0.0000 0.0000 x3
Ag1 0.0000 0.0000 0.0883 x6
Au1 0.0000 0.0000 0.5000 x3

A plane-wave DFT calculation with PBE-GGA was carried out for an optimized crystal structure of HfAgAu2.

a b c (Å): 7.600 7.600 5.707
angles (deg): 90.00 90.00 90.00
Space group I-42d (No. 122)
Unique sites:
Hf1 0.000 0.000 0.000 x4
Ag1 0.000 0.000 0.500 x4
Au1 0.242 0.250 0.125 x8

A plane-wave DFT calculation with PBE-GGA was carried out for an optimized crystal structure of HfAgAu.

a b c (Å): 4.7236 4.7236 2.9010
angles (deg): 90.00 90.00 120.00
Space group P-6m2 (No. 187)
Unique sites:
Hf1 0.0000 0.0000 0.0000 x1
Ag1 0.6667 0.3333 0.5000 x1
Au1 0.3333 0.6667 0.5000 x1

A plane-wave DFT calculation with PBE-GGA was carried out for an optimized crystal structure of HfAgAu3.

a b c (Å): 5.335 14.897 5.126
angles (deg): 90.00 90.00 90.00
Space group Cmcm (No. 63)
Unique sites:
Hf1 0.000 0.183 0.250 x4
Ag1 0.000 0.425 0.750 x4
Au1 0.000 0.000 0.000 x4
Au2 0.247 0.346 0.250 x8

| no. | total DFT energy (no corrections) (eV per cell) |
| --- | --- |
| 1 | -65.69 |
| 2 | -95.08 |
| 3 | -31.94 |
| 4 | -33.93 |
| 5 | -71.44 |
| 6 | -26.69 |
| 7 | -26.13 |
| 8 | -33.97 |
| 9 | -54.37 |
| 10 | -76.31 |
| 11 | -16.78 |
| 12 | -92.86 |